Density functional theory data (PBE-GGA) for a relaxed AgPd4Au7 crystal.

Computed properties:
ΔH_f (0 K): 0.136 eV/atom
Density of states at the Fermi level: 4.9 states/eV per cell
Symmetry: No. 12
Total moment: 0.00 Bohr magnetons per cell
Calculated density: 14.1 g/cm3

POSCAR file:
```
AgPd4Au7
1.0
5.051 0.000 0.000
2.525 8.583 -0.287
2.525 0.138 5.204
Pd Au Ag
4 7 1
direct
0.578 0.229 0.614
0.274 0.313 0.139
0.726 0.687 0.861
0.422 0.771 0.386
0.657 0.452 0.233
0.041 0.622 0.297
0.959 0.378 0.703
0.343 0.548 0.767
0.500 0.000 0.000
0.206 0.083 0.505
0.794 0.917 0.495
0.000 0.000 0.000
```